1.
A plane-wave DFT calculation with GGA-PBE was carried out for a geometry-optimized Tb10In3Sb3 structure.

Output
As for the theoretical density: 8254 kg/m³. The energy is -4.853 eV/atom. The spin magnetization comes out at 0.00 μB per formula unit. The value obtained for the density of states at the Fermi level is 0.86 states/eV/atom. The formation energy from raw total energies comes out at -672 meV/atom.

Structure (POSCAR):
```
Tb10In3Sb3
1.0
9.0109 0.0000 0.0000
-4.5054 7.8036 0.0000
0.0000 0.0000 6.5771
Tb In Sb
10 3 3
Cartesian
-1.0735 1.8593 0.0000
-3.4393 5.9570 3.2885
1.0661 1.8466 3.2885
2.1469 0.0000 0.0000
0.0000 5.2024 1.6538
0.0000 5.2024 4.9232
4.5054 2.6012 1.6538
4.5054 2.6012 4.9232
3.4320 5.9444 0.0000
6.8786 0.0000 3.2885
-1.7854 3.0924 3.2885
3.5708 0.0000 3.2885
2.7200 4.7112 3.2885
-2.7304 4.7291 0.0000
1.7751 3.0745 0.0000
5.4607 0.0000 0.0000
```



2.
A plane-wave DFT calculation with GGA-PBE was carried out for a geometry-optimized Tb5In2Sb structure.

Output
As for the theoretical density: 8296 kg/m³. As for the energy above the most stable polymorph in this dataset: 0.00 eV/f.u. The energy is -4.626 eV/atom. The spin magnetization comes out at 0.00 μB per formula unit. The value obtained for the density of states at the Fermi level is 1.03 states/eV/atom. The formation energy from raw total energies comes out at -532 meV/atom.

Structure (POSCAR):
```
Tb5In2Sb
1.0
-4.2227 4.2227 6.4324
4.2227 -4.2227 6.4324
4.2227 4.2227 -6.4324
Tb In Sb
10 4 2
Cartesian
0.0000 0.0000 0.0000
5.5382 1.3155 -1.9431
1.3155 2.9072 -1.9431
5.5382 1.3155 1.9431
1.3155 2.9072 1.9431
0.0000 0.0000 6.4324
2.9072 1.3155 4.4893
-1.3155 2.9072 4.4893
2.9072 1.3155 8.3755
-1.3155 2.9072 8.3755
3.0141 1.2087 0.0000
3.0141 -1.2087 6.4324
1.2087 5.4314 0.0000
1.2087 3.0141 6.4324
0.0000 0.0000 3.2162
0.0000 0.0000 9.6486
```



3.
A plane-wave DFT calculation with GGA-PBE was carried out for a geometry-optimized Tb5In2Sb structure.

Output
As for the theoretical density: 8546 kg/m³. As for the energy above the most stable polymorph in this dataset: 1.06 eV/f.u. The energy is -4.493 eV/atom. The spin magnetization comes out at 0.00 μB per formula unit. The value obtained for the density of states at the Fermi level is 1.18 states/eV/atom. The formation energy from raw total energies comes out at -399 meV/atom.

Structure (POSCAR):
```
Tb5In2Sb
1.0
-3.7696 3.7696 3.9178
3.7696 -3.7696 3.9178
3.7696 3.7696 -3.9178
Tb In Sb
5 2 1
Cartesian
0.0000 0.0000 0.0000
1.9914 1.9914 -1.5977
1.7783 -1.7783 2.3201
-1.7783 1.7783 2.3201
1.7783 1.7783 2.3201
3.7696 0.0000 0.3027
0.0000 3.7696 0.3027
0.0000 0.0000 4.6140
```



4.
A plane-wave DFT calculation with GGA-PBE was carried out for a geometry-optimized Tb4InSbTe2 structure.

Output
As for the theoretical density: 7781 kg/m³. The energy is -5.016 eV/atom. The spin magnetization comes out at 0.00 μB per formula unit. The value obtained for the density of states at the Fermi level is 0.35 states/eV/atom. The formation energy from raw total energies comes out at -1057 meV/atom.

Structure (POSCAR):
```
Tb4InSbTe2
1.0
7.6679 0.0000 0.0000
0.0000 4.3090 0.0000
-2.4461 0.0000 7.2824
Tb In Sb Te
4 1 1 2
Cartesian
1.3052 0.0000 1.7750
0.0635 2.1545 5.5447
5.1582 2.1545 1.7377
3.9165 0.0000 5.5075
0.0000 2.1545 0.0000
3.8339 0.0000 0.0000
-1.2230 0.0000 3.6412
2.6109 2.1545 3.6412
```